1.
First-principles (PBE-GGA) data for an optimized crystal structure of Re2RuRh6, as listed in Alexandria.

Cell: 8.612 3.848 8.184 Å, 90.00 108.75 90.00°
Space group C2/m (No. 12)
Inequivalent atoms, fractional coordinates:
Re: 0.166 0.000 0.227 [4 per cell]
Ru: 0.000 0.500 0.000 [2 per cell]
Rh: 0.003 0.500 0.676 [4 per cell]
Rh: 0.167 0.000 0.895 [4 per cell]
Rh: 0.171 0.000 0.556 [4 per cell]

For the energy relative to the elements, the calculation gives -0.053 eV per atom. As for the crystal system: monoclinic. The value obtained for the energy relative to the lowest polymorph listed for this composition is 0.0 meV per atom. The value obtained for the density of states at the Fermi level is 19.3 states/eV per cell. For the calculated volume, the calculation gives 14.27 Å³/atom. For the raw total energy, the calculation gives -8.751 eV per atom. The value obtained for the mass density is 14.106 g/cm3.

=====

2.
First-principles (PBE-GGA) data for an optimized crystal structure of Ac2DyIn, as listed in Alexandria.

Cell: 8.293 8.293 8.293 Å, 90.00 90.00 90.00°
Space group Fm-3m (No. 225)
Inequivalent atoms, fractional coordinates:
Ac: 0.250 0.250 0.250 [8 per cell]
Dy: 0.000 0.000 0.000 [4 per cell]
In: 0.000 0.000 0.500 [4 per cell]

For the energy relative to the elements, the calculation gives -0.090 eV per atom. As for the crystal system: cubic. The value obtained for the energy relative to the lowest polymorph listed for this composition is 69.5 meV per atom. The value obtained for the density of states at the Fermi level is 25.1 states/eV per cell. For the calculated volume, the calculation gives 35.65 Å³/atom. For the raw total energy, the calculation gives -3.980 eV per atom. The value obtained for the mass density is 8.517 g/cm3.

=====

3.
First-principles (PBE-GGA) data for an optimized crystal structure of BaAlCd, as listed in Alexandria.

Cell: 6.697 8.707 8.940 Å, 90.00 131.86 90.00°
Space group P2_1/c (No. 14)
Inequivalent atoms, fractional coordinates:
Ba: 0.245 0.250 0.122 [4 per cell]
Al: 0.268 0.577 0.385 [4 per cell]
Cd: 0.242 0.589 0.870 [4 per cell]

For the energy relative to the elements, the calculation gives -0.211 eV per atom. As for the crystal system: monoclinic. The value obtained for the density of states at the Fermi level is 10.4 states/eV per cell. For the calculated volume, the calculation gives 32.35 Å³/atom. For the raw total energy, the calculation gives -2.405 eV per atom. The value obtained for the mass density is 4.735 g/cm3.

=====

> Among the records above, which one has the highest raw total energy?

BaAlCd